No. 1
First-principles (GGA-PBE) data for a relaxed structure of CaSiPb2, as listed in the Alexandria database.

Computed properties:
Final energy (eV/atom): -3.689
Calculated density (g/cm³): 7.4
Total magnetic moment (μB/atom): 0.0000

POSCAR file:
```
CaSiPb2
1.0
3.9643 0.0000 0.0000
0.0000 3.9643 0.0000
0.0000 0.0000 6.8455
Ca Si Pb
1 1 2
direct
0.0000 0.0000 0.0000
0.0000 0.0000 0.5000
0.5000 0.5000 0.2786
0.5000 0.5000 0.7214
```

---

No. 2
First-principles (GGA-PBE) data for a relaxed structure of Ca8SiPb2, as listed in the Alexandria database.

Computed properties:
Final energy (eV/atom): -2.975
Calculated density (g/cm³): 3.5
Total magnetic moment (μB/atom): 0.0000

POSCAR file:
```
Ca8SiPb2
1.0
9.7043 -2.6646 0.0000
9.7043 2.6646 0.0000
-2.1512 0.0000 6.9374
Ca Si Pb
8 1 2
direct
0.0231 0.0231 0.2917
0.2098 0.2098 0.7941
0.3503 0.3503 0.5472
0.4073 0.4073 0.0758
0.5927 0.5927 0.9242
0.6497 0.6497 0.4528
0.7902 0.7902 0.2059
0.9769 0.9769 0.7083
0.5000 0.5000 0.5000
0.1842 0.1842 0.2144
0.8158 0.8158 0.7856
```

---

No. 3
First-principles (GGA-PBE) data for a relaxed structure of CaSiPb2, as listed in the Alexandria database.

Computed properties:
Final energy (eV/atom): -3.767
Calculated density (g/cm³): 7.0
Total magnetic moment (μB/atom): 0.0000

POSCAR file:
```
CaSiPb2
1.0
8.4322 0.0000 0.0000
0.0000 8.4322 0.0000
0.0000 0.0000 6.4805
Ca Si Pb
4 4 8
direct
0.0000 0.0000 0.0000
0.0000 0.5000 0.2500
0.5000 0.0000 0.7500
0.5000 0.5000 0.5000
0.0000 0.0000 0.5000
0.0000 0.5000 0.7500
0.5000 0.0000 0.2500
0.5000 0.5000 0.0000
0.1961 0.2500 0.6250
0.2500 0.6961 0.8750
0.2500 0.8039 0.3750
0.3039 0.2500 0.1250
0.6961 0.7500 0.1250
0.7500 0.1961 0.3750
0.7500 0.3039 0.8750
0.8039 0.7500 0.6250
```

---

No. 4
First-principles (GGA-PBE) data for a relaxed structure of CaSiPb2, as listed in the Alexandria database.

Computed properties:
Final energy (eV/atom): -3.652
Calculated density (g/cm³): 7.2
Total magnetic moment (μB/atom): 0.0000

POSCAR file:
```
CaSiPb2
1.0
7.6250 0.0000 0.0000
0.0000 7.6250 0.0000
0.0000 0.0000 7.6250
Ca Si Pb
4 4 8
direct
0.0000 0.0000 0.0000
0.0000 0.5000 0.5000
0.5000 0.0000 0.5000
0.5000 0.5000 0.0000
0.2500 0.2500 0.7500
0.2500 0.7500 0.2500
0.7500 0.2500 0.2500
0.7500 0.7500 0.7500
0.0000 0.0000 0.5000
0.0000 0.5000 0.0000
0.2500 0.2500 0.2500
0.2500 0.7500 0.7500
0.5000 0.0000 0.0000
0.5000 0.5000 0.5000
0.7500 0.2500 0.7500
0.7500 0.7500 0.2500
```

---

no.,Fermi-level density of states (states/eV per cell),uncorrected formation energy (eV per atom)
1,2.6,0.0216
2,8.5,-0.3522
3,2.2,-0.0563
4,10.3,0.0586